Record 1
# PBE-GGA YClO, optimized geometry
data_YClO
_chemical_formula_sum 'Y1 Cl1 O1'
_cell_length_a 3.6769
_cell_length_b 3.6769
_cell_length_c 5.5290
_cell_angle_alpha 90.00
_cell_angle_beta 90.00
_cell_angle_gamma 120.00
_space_group_name_H-M_alt 'P 1'
_space_group_IT_number 1
_space_group_name_Hall 'P 1'
loop_
_atom_site_label
_atom_site_type_symbol
_atom_site_fract_x
_atom_site_fract_y
_atom_site_fract_z
_atom_site_occupancy
Y1 Y 0.0000 0.0000 0.0000 1
Cl1 Cl 0.3333 0.6667 0.6641 1
O1 O 0.6667 0.3333 0.1053 1
# Calculated total energy = -7.334 eV per atom
# Total moment = 0.000 μB/cell

---

Record 2
# PBE-GGA Nd6S5Cl, optimized geometry
data_Nd6S5Cl
_chemical_formula_sum 'Nd6 S5 Cl1'
_cell_length_a 7.0544
_cell_length_b 7.0544
_cell_length_c 7.0626
_cell_angle_alpha 99.57
_cell_angle_beta 99.57
_cell_angle_gamma 119.78
_space_group_name_H-M_alt 'P 1'
_space_group_IT_number 1
_space_group_name_Hall 'P 1'
loop_
_atom_site_label
_atom_site_type_symbol
_atom_site_fract_x
_atom_site_fract_y
_atom_site_fract_z
_atom_site_occupancy
Nd1 Nd 0.0635 0.4126 0.7373 1
Nd2 Nd 0.2367 0.2367 0.2586 1
Nd3 Nd 0.4126 0.0635 0.7373 1
Nd4 Nd 0.5874 0.9365 0.2627 1
Nd5 Nd 0.7633 0.7633 0.7414 1
Nd6 Nd 0.9365 0.5874 0.2627 1
S1 S 0.0000 0.0000 0.5000 1
S2 S 0.1677 0.8323 0.0000 1
S3 S 0.3392 0.6608 0.5000 1
S4 S 0.6608 0.3392 0.5000 1
S5 S 0.8323 0.1677 0.0000 1
Cl1 Cl 0.5000 0.5000 0.0000 1
# Calculated total energy = -6.183 eV per atom
# Total moment = 0.000 μB/cell

---

Record 3
# PBE-GGA Ca2Y2Fe, optimized geometry
data_Ca2Y2Fe
_chemical_formula_sum 'Ca2 Y2 Fe1'
_cell_length_a 9.6535
_cell_length_b 9.6535
_cell_length_c 9.6535
_cell_angle_alpha 155.53
_cell_angle_beta 155.53
_cell_angle_gamma 34.88
_space_group_name_H-M_alt 'P 1'
_space_group_IT_number 1
_space_group_name_Hall 'P 1'
loop_
_atom_site_label
_atom_site_type_symbol
_atom_site_fract_x
_atom_site_fract_y
_atom_site_fract_z
_atom_site_occupancy
Ca1 Ca 0.2500 0.7500 0.5000 1
Ca2 Ca 0.7500 0.2500 0.5000 1
Y1 Y 0.0831 0.0831 0.0000 1
Y2 Y 0.9169 0.9169 0.0000 1
Fe1 Fe 0.5000 0.5000 0.0000 1
# Relative energy among the computed polymorphs = 39.7 kJ per mole of atoms
# Formation energy = 734 meV/atom
# Total moment = 2.245 μB/cell

---

Record 4
# PBE-GGA Cd3Tc, optimized geometry
data_Cd3Tc
_chemical_formula_sum 'Cd6 Tc2'
_cell_length_a 5.9730
_cell_length_b 5.9730
_cell_length_c 4.9151
_cell_angle_alpha 90.00
_cell_angle_beta 90.00
_cell_angle_gamma 120.00
_space_group_name_H-M_alt 'P 1'
_space_group_IT_number 1
_space_group_name_Hall 'P 1'
loop_
_atom_site_label
_atom_site_type_symbol
_atom_site_fract_x
_atom_site_fract_y
_atom_site_fract_z
_atom_site_occupancy
Cd1 Cd 0.1711 0.3423 0.2500 1
Cd2 Cd 0.1711 0.8289 0.2500 1
Cd3 Cd 0.3423 0.1711 0.7500 1
Cd4 Cd 0.6577 0.8289 0.2500 1
Cd5 Cd 0.8289 0.1711 0.7500 1
Cd6 Cd 0.8289 0.6577 0.7500 1
Tc1 Tc 0.3333 0.6667 0.7500 1
Tc2 Tc 0.6667 0.3333 0.2500 1
# Relative energy among the computed polymorphs = 9.4 kJ per mole of atoms
# Formation energy = 351 meV/atom
# Total moment = 2.013 μB/cell

---

Record 5
# PBE-GGA SrBe2Cl6, optimized geometry
data_SrBe2Cl6
_chemical_formula_sum 'Sr2 Be4 Cl12'
_cell_length_a 8.8128
_cell_length_b 8.8128
_cell_length_c 6.2393
_cell_angle_alpha 98.93
_cell_angle_beta 98.93
_cell_angle_gamma 89.29
_space_group_name_H-M_alt 'P 1'
_space_group_IT_number 1
_space_group_name_Hall 'P 1'
loop_
_atom_site_label
_atom_site_type_symbol
_atom_site_fract_x
_atom_site_fract_y
_atom_site_fract_z
_atom_site_occupancy
Sr1 Sr 0.1381 0.8619 0.7500 1
Sr2 Sr 0.8619 0.1381 0.2500 1
Be1 Be 0.2263 0.3662 0.7369 1
Be2 Be 0.3662 0.2263 0.2369 1
Be3 Be 0.6338 0.7737 0.7631 1
Be4 Be 0.7737 0.6338 0.2631 1
Cl1 Cl 0.0564 0.1983 0.6779 1
Cl2 Cl 0.1486 0.5653 0.8757 1
Cl3 Cl 0.1983 0.0564 0.1779 1
Cl4 Cl 0.2916 0.4054 0.4457 1
Cl5 Cl 0.4054 0.2916 0.9457 1
Cl6 Cl 0.4347 0.8514 0.6243 1
Cl7 Cl 0.5653 0.1486 0.3757 1
Cl8 Cl 0.5946 0.7084 0.0543 1
Cl9 Cl 0.7084 0.5946 0.5543 1
Cl10 Cl 0.8017 0.9436 0.8221 1
Cl11 Cl 0.8514 0.4347 0.1243 1
Cl12 Cl 0.9436 0.8017 0.3221 1
# Calculated total energy = -3.980 eV per atom
# Total moment = 0.001 μB/cell

---

Record 6
# PBE-GGA La2YBiO, optimized geometry
data_La2YBiO
_chemical_formula_sum 'La2 Y1 Bi1 O1'
_cell_length_a 5.1829
_cell_length_b 5.1829
_cell_length_c 4.7204
_cell_angle_alpha 90.00
_cell_angle_beta 90.00
_cell_angle_gamma 90.00
_space_group_name_H-M_alt 'P 1'
_space_group_IT_number 1
_space_group_name_Hall 'P 1'
loop_
_atom_site_label
_atom_site_type_symbol
_atom_site_fract_x
_atom_site_fract_y
_atom_site_fract_z
_atom_site_occupancy
La1 La 0.0000 0.5000 0.0000 1
La2 La 0.5000 0.0000 0.0000 1
Y1 Y 0.0000 0.0000 0.5000 1
Bi1 Bi 0.5000 0.5000 0.5000 1
O1 O 0.0000 0.0000 0.0000 1
# Calculated total energy = -6.500 eV per atom
# Total moment = 0.000 μB/cell